This record from Alexandria via LeMat-Bulk describes a relaxed structure of Cd2FeBr. The functional is PBE-GGA.

```
Cd2FeBr
1.0
-2.5064 0.7309 -1.7828
0.5025 -2.5771 -1.7630
-5.1914 -4.6898 5.3756
Cd Fe Br
2 1 1
Cartesian
-0.1503 -0.1358 0.1556
-2.5290 -2.3027 -0.1916
-2.6196 -2.3665 2.7125
-4.4920 -4.0760 1.8410
```

## Properties
Total energy = -11.22 eV per cell
Excess energy over the best structure of this formula in the dataset = 57 meV per atom
Mass density = 6.79 g cm⁻³
Formation energy from raw total energies = 18.0 kJ/mol of atoms

=====

This record from Alexandria via LeMat-Bulk describes a relaxed structure of CdFe3Br9. The functional is PBE-GGA.

```
CdFe3Br9
1.0
-6.3429 5.0732 4.6688
-10.0247 -2.1875 -1.8429
-3.7359 -4.8685 9.6141
Br Fe Cd
18 6 2
Cartesian
-4.5462 -2.7856 7.4522
-14.1073 -2.1467 7.9921
-5.2000 -0.4714 4.3080
-10.9094 -1.1041 0.4212
-15.9662 0.3232 5.6828
-12.0984 -1.8785 4.4449
-13.1410 -0.7621 11.6463
-7.6445 -0.9092 7.2059
-8.9019 0.2585 3.4817
-8.9261 -3.2414 10.1528
-11.0944 -4.7879 7.4679
-10.9746 0.1225 8.5122
-6.8792 -2.0940 1.1265
-17.7678 -1.6814 8.8288
-9.5032 3.2018 5.7818
-6.0021 3.8331 3.9431
-12.2703 1.6161 2.5678
-8.2510 -3.3991 4.4197
-13.2310 -0.3491 9.2878
-7.2378 3.8884 6.0551
-11.1475 -0.4496 2.7978
-8.9106 -1.0643 9.1944
-18.9418 -1.0697 10.8789
-7.1676 -1.4560 3.3910
-5.1290 -0.9601 -0.7763
-14.8778 -2.1937 5.2208
```

## Properties
Total energy = -95.57 eV per cell
Mass density = 3.67 g cm⁻³
Formation energy from raw total energies = -47.7 kJ/mol of atoms

=====

This record from Alexandria via LeMat-Bulk describes a relaxed structure of Cd2FeBr. The functional is PBE-GGA.

```
Cd2FeBr
1.0
-1.3149 -5.1185 -0.1956
3.2230 1.5064 -3.9127
2.6134 -0.7498 1.8540
Cd Br Fe
2 1 1
Cartesian
0.0000 0.0000 0.0000
0.9540 -1.8060 -2.0542
2.9182 0.3783 -1.0293
0.6492 -2.9342 0.8292
```

## Properties
Total energy = -10.63 eV per cell
Excess energy over the best structure of this formula in the dataset = 205 meV per atom
Mass density = 7.10 g cm⁻³
Formation energy from raw total energies = 32.2 kJ/mol of atoms